! HfHgS2 PBE optimized geometry; values from VASP
&SYSTEM
  ibrav = 0, nat = 16, ntyp = 3
/
ATOMIC_SPECIES
Hf 178.49 Hf.upf
Hg 200.59 Hg.upf
S 32.06 S.upf
CELL_PARAMETERS angstrom
10.089 0.000 0.000
0.000 3.554 0.000
0.000 0.000 15.132
ATOMIC_POSITIONS crystal
Hf 0.038 0.250 0.097
Hf 0.462 0.750 0.597
Hf 0.538 0.250 0.403
Hf 0.962 0.750 0.903
Hg 0.018 0.250 0.596
Hg 0.482 0.750 0.096
Hg 0.518 0.250 0.904
Hg 0.982 0.750 0.404
S 0.135 0.750 0.184
S 0.139 0.250 0.951
S 0.361 0.750 0.451
S 0.365 0.250 0.684
S 0.635 0.750 0.316
S 0.639 0.250 0.549
S 0.861 0.750 0.049
S 0.865 0.250 0.816
! volume = 543 Å³ per cell
! energy relative to the elements, uncorrected = -0.99 eV per atom
! DFT total energy = -5.615 eV per atom